Record 1
Material: Ac3MgZn2Hg6
Method: DFT, PBE-GGA
State: relaxed

Lattice parameters (Å, degrees): 6.6618 6.6618 9.0500 90.00 90.00 120.00
Closest atoms and distances in Å follow each position.
Space group P-3m1 (No. 164)
Unique sites:
Ac  0.0000  0.0000  0.0000 (multiplicity 1)  6 Hg 3.29
Ac  0.3333  0.6667  0.6328 (multiplicity 2)  1 Zn 3.40, 9 Hg 3.42-3.63
Mg  0.0000  0.0000  0.5000 (multiplicity 1)  6 Hg 2.87
Zn  0.3333  0.6667  0.0087 (multiplicity 2)  3 Hg 3.03
Hg  0.1807  0.3615  0.2814 (multiplicity 6)  1 Mg 2.87, 1 Zn 3.03, 2 Hg 3.05

Summary:
* energy of formation from the pure elements: -0.2227 eV per atom



Record 2
Material: Na3TlCd4
Method: DFT, PBE-GGA
State: relaxed

Lattice parameters (Å, degrees): 6.2615 10.6693 6.4174 90.00 90.00 90.00
Closest atoms and distances in Å follow each position.
Space group Imm2 (No. 44)
Unique sites:
Na  0.0000  0.0000  0.0000 (multiplicity 2)  2 Tl 3.13, 4 Cd 3.16-3.31, 2 Na 3.22
Na  0.0000  0.2431  0.7022 (multiplicity 4)  1 Tl 3.10, 6 Cd 3.13-3.41, 1 Na 3.22
Tl  0.0000  0.5000  0.4778 (multiplicity 2)  2 Cd 3.03, 4 Na 3.10-3.13
Cd  0.0000  0.2708  0.1983 (multiplicity 4)  1 Tl 3.03, 5 Na 3.13-3.25, 2 Cd 3.31
Cd  0.2466  0.0000  0.4557 (multiplicity 4)  4 Cd 3.09-3.31, 3 Na 3.31-3.41, 1 Tl 3.45

Summary:
* energy of formation from the pure elements: -0.0172 eV per atom
* polymorph energy (0 for the lowest one): 58 meV per atom



Record 3
Material: MnSn3Pd
Method: DFT, PBE-GGA
State: relaxed

Lattice parameters (Å, degrees): 5.2149 5.2149 5.2149 90.00 90.00 90.00
Closest atoms and distances in Å follow each position.
Space group Pm-3m (No. 221)
Unique sites:
Mn  0.0000  0.0000  0.0000 (multiplicity 1)  12 Sn 3.69
Sn  0.0000  0.5000  0.5000 (multiplicity 3)  2 Pd 2.61
Pd  0.5000  0.5000  0.5000 (multiplicity 1)  6 Sn 2.61

Summary:
* energy of formation from the pure elements: 0.4323 eV per atom
* polymorph energy (0 for the lowest one): 160 meV per atom



Record 4
Material: RbCdIn2Cl5
Method: DFT, PBE-GGA
State: relaxed

Lattice parameters (Å, degrees): 8.4296 8.4296 15.6854 90.00 90.00 90.00
Closest atoms and distances in Å follow each position.
Space group I4/mcm (No. 140)
Unique sites:
Rb  0.0000  0.0000  0.2500 (multiplicity 4)  10 Cl 3.52-3.92
Cd  0.0000  0.5000  0.2500 (multiplicity 4)  4 Cl 2.50
In  0.1663  0.3337  0.0000 (multiplicity 8)  4 Cl 3.11-3.14
Cl  0.0000  0.0000  0.0000 (multiplicity 4)  4 In 3.14
Cl  0.1639  0.3361  0.3494 (multiplicity 16)  1 Cd 2.50

Summary:
* formation energy from raw total energies: -1.157 eV per atom



Record 5
Material: PrAl3Ag
Method: DFT, PBE-GGA
State: relaxed

Lattice parameters (Å, degrees): 4.3225 4.3225 11.1680 90.00 90.00 90.00
Closest atoms and distances in Å follow each position.
Space group I4mm (No. 107)
Unique sites:
Pr  0.0000  0.0000  0.0000 (multiplicity 2)  8 Al 3.23-3.43, 4 Ag 3.40
Al  0.0000  0.0000  0.5938 (multiplicity 2)  1 Ag 2.53, 4 Al 2.70
Al  0.0000  0.5000  0.2381 (multiplicity 4)  2 Ag 2.60, 2 Al 2.70
Ag  0.0000  0.0000  0.3674 (multiplicity 2)  5 Al 2.53-2.60

Summary:
* energy of formation from the pure elements: -0.4120 eV per atom
* polymorph energy (0 for the lowest one): 2 meV per atom



Record 6
Material: MoCl2
Method: DFT, PBE-GGA
State: relaxed

Lattice parameters (Å, degrees): 6.1312 6.1312 6.1312 90.00 90.00 90.00
Closest atoms and distances in Å follow each position.
Space group Pa-3 (No. 205)
Unique sites:
Mo  0.0000  0.0000  0.0000 (multiplicity 4)  6 Cl 2.51
Cl  0.1515  0.6515  0.8485 (multiplicity 8)  3 Mo 2.51

Summary:
* formation energy from raw total energies: -0.170 eV per atom
* polymorph energy (0 for the lowest one): 770 meV per atom



Record 7
Material: LiPmSnAu
Method: DFT, PBE-GGA
State: relaxed

Lattice parameters (Å, degrees): 8.1566 4.7523 4.9118 90.00 91.07 90.00
Closest atoms and distances in Å follow each position.
Space group Cm (No. 8)
Unique sites:
Li  0.0000  0.0000  0.0000 (multiplicity 2)  2 Au 2.37-2.54
Pm  0.3321  0.0000  0.7102 (multiplicity 2)  3 Au 2.95-2.96, 3 Li 3.08
Sn  0.1616  0.5000  0.2259 (multiplicity 2)  3 Li 2.93-2.99, 3 Au 2.97-3.03
Au  0.4935  0.5000  0.4830 (multiplicity 2)  2 Li 2.37-2.54

Summary:
* energy of formation from the pure elements: -0.5203 eV per atom
* polymorph energy (0 for the lowest one): 73 meV per atom



Record 8
Material: Na3Sc2TeS6
Method: DFT, PBE-GGA
State: relaxed

Lattice parameters (Å, degrees): 6.6481 11.9331 6.9297 90.00 108.38 90.00
Closest atoms and distances in Å follow each position.
Space group C2/m (No. 12)
Unique sites:
Na  0.0000  0.0000  0.0000 (multiplicity 2)  6 S 2.87-2.99
Na  0.0000  0.3411  0.0000 (multiplicity 4)  6 S 2.85-2.93
Sc  0.0000  0.1709  0.5000 (multiplicity 4)  6 S 2.59-2.68
Te  0.0000  0.5000  0.5000 (multiplicity 2)  6 S 2.66-2.85
S  0.2281  0.0000  0.7110 (multiplicity 4)  1 Te 2.66, 2 Sc 2.68, 3 Na 2.87-2.93
S  0.2475  0.1791  0.2768 (multiplicity 8)  2 Sc 2.59-2.60, 1 Na 2.85, 1 Te 2.85

Summary:
* formation energy from raw total energies: -1.200 eV per atom



Record 9
Material: TbNb3O6
Method: DFT, PBE-GGA
State: relaxed

Lattice parameters (Å, degrees): 8.9065 3.0837 9.2965 90.00 108.52 90.00
Closest atoms and distances in Å follow each position.
Space group P2_1/m (No. 11)
Unique sites:
Tb  0.1099  0.2500  0.3661 (multiplicity 2)  8 O 2.29-2.47
Nb  0.1383  0.2500  0.0311 (multiplicity 2)  6 O 2.10-2.25
Nb  0.2913  0.7500  0.7294 (multiplicity 2)  6 O 2.01-2.25
Nb  0.4820  0.7500  0.3612 (multiplicity 2)  4 O 2.12-2.27
O  0.0710  0.7500  0.1754 (multiplicity 2)  3 Nb 2.21-2.25, 2 Tb 2.29
O  0.1039  0.2500  0.6257 (multiplicity 2)  2 Nb 2.25, 3 Tb 2.43-2.47
O  0.2254  0.7500  0.9257 (multiplicity 2)  3 Nb 2.09-2.10
O  0.3128  0.7500  0.4999 (multiplicity 2)  4 Nb 2.20-2.43, 2 Tb 2.40
O  0.3201  0.2500  0.2487 (multiplicity 2)  3 Nb 2.14-2.15
O  0.4316  0.2500  0.8269 (multiplicity 2)  3 Nb 2.01-2.12

Summary:
* formation energy from raw total energies: -2.421 eV per atom



Record 10
Material: TcNiI2
Method: DFT, PBE-GGA
State: relaxed

Lattice parameters (Å, degrees): 3.7725 3.7725 25.0790 90.00 90.00 120.00
Closest atoms and distances in Å follow each position.
Space group R-3m (No. 166, hexagonal axes)
Unique sites:
Tc  0.0000  0.0000  0.0000 (multiplicity 3)  2 I 2.63
Ni  0.0000  0.0000  0.5000 (multiplicity 3)  6 I 2.67
I  0.0000  0.0000  0.1049 (multiplicity 6)  1 Tc 2.63, 3 Ni 2.67

Summary:
* formation energy from raw total energies: 0.899 eV per atom
* polymorph energy (0 for the lowest one): 225 meV per atom



Record 11
Material: ThSi2NiPt5
Method: DFT, PBE-GGA
State: relaxed

Lattice parameters (Å, degrees): 4.0986 4.0986 10.0939 90.00 90.00 90.00
Closest atoms and distances in Å follow each position.
Space group P4/mmm (No. 123)
Unique sites:
Th  0.0000  0.0000  0.0000 (multiplicity 1)  4 Pt 2.90
Si  0.5000  0.5000  0.2334 (multiplicity 2)  5 Pt 2.36
Ni  0.0000  0.0000  0.5000 (multiplicity 1)  8 Pt 2.55
Pt  0.0000  0.5000  0.3493 (multiplicity 4)  2 Si 2.36, 2 Ni 2.55
Pt  0.5000  0.5000  0.0000 (multiplicity 1)  2 Si 2.36

Summary:
* formation energy from raw total energies: -0.585 eV per atom



Record 12
Material: CrTeRu
Method: DFT, PBE-GGA
State: relaxed

Lattice parameters (Å, degrees): 6.0781 6.0781 6.0781 90.00 90.00 90.00
Closest atoms and distances in Å follow each position.
Space group F-43m (No. 216)
Unique sites:
Cr  0.0000  0.0000  0.0000 (multiplicity 4)  4 Ru 2.63
Te  0.0000  0.0000  0.5000 (multiplicity 4)  4 Ru 2.63
Ru  0.2500  0.2500  0.2500 (multiplicity 4)  4 Cr 2.63, 4 Te 2.63

Summary:
* formation energy from raw total energies: 0.112 eV per atom
* polymorph energy (0 for the lowest one): 0 meV per atom